Density functional theory data (PBE) for Cs2Sn2O3 after structural relaxation.

Lattice parameters (Å, degrees): 9.158 9.158 9.158 90.00 90.00 90.00
Space group I2_13 (No. 199)
Symmetry-distinct sites (fractional):
Cs 0.245 0.255 0.745 x8
Sn 0.023 0.023 0.023 x8
O 0.000 0.250 0.010 x12

Results
DFT total energy = -4.94 eV/atom
Formation energy without anion corrections = -9.98 eV/f.u.
Total magnetization = 0.00 μB/f.u.

***

Density functional theory data (PBE) for Cs2Sn2O5 after structural relaxation.

Lattice parameters (Å, degrees): 11.846 4.069 7.900 90.00 98.98 90.00
Space group C2/m (No. 12)
Symmetry-distinct sites (fractional):
Cs 0.108 0.000 0.365 x4
Sn 0.146 0.500 0.902 x4
O 0.000 0.500 0.000 x2
O 0.124 0.500 0.655 x4
O 0.182 0.000 0.977 x4

Results
DFT total energy = -5.35 eV/atom
Formation energy without anion corrections = -13.62 eV/f.u.
Total magnetization = 0.12 μB/f.u.

***

Density functional theory data (PBE) for CsSnO3 after structural relaxation.

Lattice parameters (Å, degrees): 4.221 4.221 4.221 90.00 90.00 90.00
Space group Pm-3m (No. 221)
Symmetry-distinct sites (fractional):
Cs 0.000 0.000 0.000 x1
Sn 0.500 0.500 0.500 x1
O 0.000 0.500 0.500 x3

Results
DFT total energy = -5.06 eV/atom
Formation energy without anion corrections = -5.56 eV/f.u.
Total magnetization = 1.00 μB/f.u.

***

Density functional theory data (PBE) for CsSnO3 after structural relaxation.

Lattice parameters (Å, degrees): 3.228 4.210 6.526 90.00 90.00 90.00
Space group Pmmm (No. 47)
Symmetry-distinct sites (fractional):
Cs 0.000 0.000 0.000 x1
Sn 0.000 0.500 0.500 x1
O 0.000 0.000 0.500 x1
O 0.500 0.500 0.289 x2

Results
DFT total energy = -5.16 eV/atom
Formation energy without anion corrections = -6.07 eV/f.u.
Total magnetization = 1.01 μB/f.u.

***

Density functional theory data (PBE) for Cs2SnO3 after structural relaxation.

Lattice parameters (Å, degrees): 11.447 7.880 5.925 90.00 90.00 90.00
Space group Cmc2_1 (No. 36)
Symmetry-distinct sites (fractional):
Cs 0.161 0.146 0.000 x8
Sn 0.000 0.417 0.499 x4
O 0.000 0.167 0.498 x4
O 0.118 0.500 0.250 x8

Results
DFT total energy = -5.00 eV/atom
Formation energy without anion corrections = -9.39 eV/f.u.
Total magnetization = 0.09 μB/f.u.

***

Density functional theory data (PBE) for Cs7SnO6 after structural relaxation.

Lattice parameters (Å, degrees): 7.680 13.552 15.572 90.00 90.00 90.00
Space group Ibam (No. 72)
Symmetry-distinct sites (fractional):
Cs 0.000 0.000 0.250 x4
Cs 0.148 0.271 0.128 x16
Cs 0.241 0.027 0.000 x8
Sn 0.000 0.500 0.250 x4
O 0.078 0.159 0.500 x8
O 0.155 0.411 0.319 x16

Results
DFT total energy = -4.09 eV/atom
Formation energy without anion corrections = -17.48 eV/f.u.
Total magnetization = 1.04 μB/f.u.

***

Density functional theory data (PBE) for CsSrSnO3 after structural relaxation.

Lattice parameters (Å, degrees): 6.523 4.081 9.996 90.00 90.14 90.00
Space group P2_1/m (No. 11)
Symmetry-distinct sites (fractional):
Cs 0.249 0.250 0.172 x2
Sr 0.250 0.750 0.526 x2
Sn 0.251 0.250 0.784 x2
O 0.031 0.250 0.636 x2
O 0.251 0.750 0.847 x2
O 0.471 0.250 0.636 x2

Results
DFT total energy = -5.42 eV/atom
Formation energy without anion corrections = -11.11 eV/f.u.
Total magnetization = 0.00 μB/f.u.

***

Density functional theory data (PBE) for Cs3Ta2SnO8 after structural relaxation.

Lattice parameters (Å, degrees): 6.3428 6.3428 8.5250 90.00 90.00 120.00
Space group P-3m1 (No. 164)
Symmetry-distinct sites (fractional):
Cs 0.0000 0.0000 0.0000 x1
Cs 0.3333 0.6667 0.7287 x2
Ta 0.3333 0.6667 0.2786 x2
Sn 0.0000 0.0000 0.5000 x1
O 0.1688 0.3377 0.3448 x6
O 0.3333 0.6667 0.0651 x2

Results
DFT total energy = -7.18 eV/atom
Formation energy without anion corrections = -30.65 eV/f.u.
Total magnetization = 0.00 μB/f.u.